1.
# CaZn2Cd2

A geometry-optimized CaZn2Cd2 structure (PBE, Alexandria via LeMat-Bulk).

Calculated values
- N(E_F) (states/eV/atom) = 0.461
- uncorrected energy (eV/atom) = -1.457
- formation enthalpy at 0 K (eV per atom) = -0.18

Unit cell a=11.1169 b=4.2237 c=5.1099 alpha=90.00 beta=106.96 gamma=90.00
Space group C2/m (No. 12)
Asymmetric unit:
Ca1 0.0000 0.0000 0.0000 x2
Zn1 0.2269 0.5000 0.1221 x4
Cd1 0.1362 0.5000 0.5545 x4

---

2.
# Ac2SiPt6

A geometry-optimized Ac2SiPt6 structure (PBE, Alexandria via LeMat-Bulk).

Calculated values
- E_form (uncorrected) (kJ/mol of formula units) = -861
- N(E_F) (states/eV/atom) = 0.275
- uncorrected energy (eV/atom) = -6.534

Unit cell a=5.9311 b=5.9311 c=17.6167 alpha=90.00 beta=90.00 gamma=120.00
Space group R-3m (No. 166, hexagonal axes)
Asymmetric unit:
Ac1 0.0000 0.0000 0.2270 x6
Si1 0.0000 0.0000 0.5000 x3
Pt1 0.0007 0.5003 0.7318 x18

---

3.
# Pm4HgAs2Se

A geometry-optimized Pm4HgAs2Se structure (PBE, Alexandria via LeMat-Bulk).

Calculated values
- E_form (uncorrected) (kJ/mol of formula units) = -1024
- N(E_F) (states/eV/atom) = 0.503
- uncorrected energy (eV/atom) = -5.338

Unit cell a=7.3701 b=4.2172 c=7.4835 alpha=90.00 beta=108.53 gamma=90.00
Space group P2/m (No. 10)
Asymmetric unit:
Pm1 0.2330 0.0000 0.2335 x2
Pm2 0.2356 0.5000 0.7517 x2
Hg1 0.5000 0.5000 0.5000 x1
As1 0.0000 0.0000 0.5000 x1
As2 0.0000 0.5000 0.0000 x1
Se1 0.5000 0.0000 0.0000 x1

---

Repeat the first record exactly.
# CaZn2Cd2

A geometry-optimized CaZn2Cd2 structure (PBE, Alexandria via LeMat-Bulk).

Calculated values
- N(E_F) (states/eV/atom) = 0.461
- uncorrected energy (eV/atom) = -1.457
- formation enthalpy at 0 K (eV per atom) = -0.18

Unit cell a=11.1169 b=4.2237 c=5.1099 alpha=90.00 beta=106.96 gamma=90.00
Space group C2/m (No. 12)
Asymmetric unit:
Ca1 0.0000 0.0000 0.0000 x2
Zn1 0.2269 0.5000 0.1221 x4
Cd1 0.1362 0.5000 0.5545 x4

---

- What is the uncorrected energy in the second record?
  -6.534 eV/atom